{"formula": "NaBiCl5", "functional": "GGA-PBE", "state": "relaxed", "vol_a3_per_cell": 454.9, "space_group": "No. 15", "formation_energy_uncorrected_mev_per_atom": -951.5, "total_energy_ev_per_cell": -42.19, "lattice": [[5.799, -4.042, 0.000], [5.799, 4.042, 0.000], [-5.113, 0.000, 9.704]], "species": ["Na", "Na", "Bi", "Bi", "Cl", "Cl", "Cl", "Cl", "Cl", "Cl", "Cl", "Cl", "Cl", "Cl"], "frac_coords": [[0.106, 0.894, 0.750], [0.894, 0.106, 0.250], [0.500, 0.500, 0.000], [0.500, 0.500, 0.500], [0.163, 0.808, 0.488], [0.192, 0.837, 0.012], [0.215, 0.282, 0.877], [0.282, 0.215, 0.377], [0.464, 0.536, 0.750], [0.536, 0.464, 0.250], [0.718, 0.785, 0.623], [0.785, 0.718, 0.123], [0.808, 0.163, 0.988], [0.837, 0.192, 0.512]]}